Computed, not measured: crystalline V6O13 at its relaxed geometry at the GGA+U level of DFT.

Results
- Uncorrected energy: -7.651 eV per atom
- Volume: 12.12 A^3/atom

a = 10.2632 Å, b = 3.7586 Å, c = 12.1583 Å
α = 90.00°, β = 100.80°, γ = 90.00°
Closest atoms and distances in Å follow each position.
Space group P2_1/c (No. 14)
Inequivalent atoms, fractional coordinates:
1 V 0.0037 0.0370 0.1485  4 O 1.80-2.01
2 V 0.3639 0.5076 0.4136  2 O 1.67-1.76
3 V 0.3666 0.0081 0.2148  1 O 1.70
4 O 0.0000 0.0000 0.0000  2 V 1.80
5 O 0.9995 0.0149 0.3160  3 V 1.85-2.05
6 O 0.1979 0.5137 0.3884  1 V 1.67
7 O 0.1990 0.0169 0.1756  1 V 1.70
8 O 0.3846 0.0075 0.3811  3 V 1.94-2.00
9 O 0.4102 0.0014 0.0606  1 V 1.76
10 O 0.4112 0.5081 0.2541  3 V 1.97-2.09